Record 1
PBE-GGA AcTm2Hg2Pb2, optimized geometry; formation energy from the elements = -0.25 eV per atom; space group = No. 166
1.0
2.577 1.488 9.092
-2.577 1.488 9.092
0.000 -2.976 9.092
Ac Tm Hg Pb
1 2 2 2
direct
0.000 0.000 0.000
0.134 0.134 0.134
0.866 0.866 0.866
0.441 0.441 0.441
0.559 0.559 0.559
0.263 0.263 0.263
0.737 0.737 0.737


Record 2
PBE-GGA Ho2Ga3Au, optimized geometry; formation energy from the elements = -0.71 eV per atom; space group = No. 8
1.0
10.392 0.000 0.000
0.000 4.474 0.000
-4.824 0.000 5.277
Ho Ga Au
4 6 2
direct
0.000 0.000 0.000
0.074 0.000 0.581
0.500 0.500 0.000
0.574 0.500 0.581
0.202 0.500 0.407
0.374 0.000 0.587
0.379 0.000 0.186
0.702 0.000 0.407
0.874 0.500 0.587
0.879 0.500 0.186
0.206 0.500 0.003
0.706 0.000 0.003


Record 3
PBE-GGA TlCo2PdSe, optimized geometry; space group = No. 123; uncorrected formation energy = 958 meV/atom
1.0
4.730 0.000 0.000
0.000 4.730 0.000
0.000 0.000 5.136
Tl Co Pd Se
1 2 1 1
direct
0.000 0.000 0.000
0.000 0.500 0.500
0.500 0.000 0.500
0.000 0.000 0.500
0.500 0.500 0.000


Record 4
PBE-GGA In3SbAu, optimized geometry; space group = No. 221; ΔE to the lowest computed polymorph = 0 meV per atom; uncorrected formation energy = 127 meV/atom
1.0
5.338 0.000 0.000
0.000 5.338 0.000
0.000 0.000 5.338
In Sb Au
3 1 1
direct
0.000 0.000 0.500
0.000 0.500 0.000
0.500 0.000 0.000
0.500 0.500 0.500
0.000 0.000 0.000


Record 5
PBE-GGA Sm3Zr, optimized geometry; formation energy from the elements = 0.12 eV per atom; space group = No. 221; ΔE to the lowest computed polymorph = 0 meV per atom
1.0
4.946 0.000 0.000
0.000 4.946 0.000
0.000 0.000 4.946
Sm Zr
3 1
direct
0.000 0.000 0.500
0.000 0.500 0.000
0.500 0.000 0.000
0.500 0.500 0.500


Record 6
PBE-GGA PmSm, optimized geometry; formation energy from the elements = 0.66 eV per atom; space group = No. 225; ΔE to the lowest computed polymorph = 649 meV per atom
1.0
6.546 0.000 0.000
0.000 6.546 0.000
0.000 0.000 6.546
Pm Sm
4 4
direct
0.000 0.000 0.000
0.000 0.500 0.500
0.500 0.000 0.500
0.500 0.500 0.000
0.000 0.000 0.500
0.000 0.500 0.000
0.500 0.000 0.000
0.500 0.500 0.500


Record 7
PBE-GGA Hf4NbIr3, optimized geometry; formation energy from the elements = -0.76 eV per atom; space group = No. 139
1.0
4.691 0.000 0.000
0.000 4.691 0.000
0.000 0.000 12.992
Hf Nb Ir
8 2 6
direct
0.000 0.500 0.125
0.000 0.500 0.375
0.000 0.500 0.625
0.000 0.500 0.875
0.500 0.000 0.125
0.500 0.000 0.375
0.500 0.000 0.625
0.500 0.000 0.875
0.000 0.000 0.000
0.500 0.500 0.500
0.000 0.000 0.252
0.000 0.000 0.500
0.000 0.000 0.748
0.500 0.500 0.000
0.500 0.500 0.248
0.500 0.500 0.752


Record 8
PBE-GGA Ce5Sn3Ge, optimized geometry; formation energy from the elements = -0.66 eV per atom; space group = No. 193
1.0
9.512 0.000 0.000
-4.756 8.238 0.000
0.000 0.000 6.428
Ce Sn Ge
10 6 2
direct
0.000 0.262 0.250
0.000 0.738 0.750
0.262 0.000 0.250
0.262 0.262 0.750
0.333 0.667 0.000
0.333 0.667 0.500
0.667 0.333 0.000
0.667 0.333 0.500
0.738 0.000 0.750
0.738 0.738 0.250
0.000 0.384 0.750
0.000 0.616 0.250
0.384 0.000 0.750
0.384 0.384 0.250
0.616 0.000 0.250
0.616 0.616 0.750
0.000 0.000 0.000
0.000 0.000 0.500